1.
The following is a PBE-GGA calculation of crystalline Li5Cd5Hg2 at its relaxed geometry, from Alexandria.

Summary:
formation enthalpy at 0 K = -2.75 eV/f.u.
electronic total energy = -17.49 eV/cell
magnetic moment = 0.00 μB/atom
space group = No. 12

Cell lengths 5.5118, 5.5118, 10.2960 Å; angles 106.65, 106.65, 51.93 degrees
Sites, in units of the cell vectors:
Li  0.0000  0.0000  0.0000
Li  0.1640  0.1640  0.4889
Li  0.2581  0.2581  0.2447
Li  0.7419  0.7419  0.7553
Li  0.8360  0.8360  0.5111
Cd  0.3375  0.3375  0.0006
Cd  0.4031  0.4031  0.7385
Cd  0.5000  0.5000  0.5000
Cd  0.5969  0.5969  0.2615
Cd  0.6625  0.6625  0.9994
Hg  0.0846  0.0846  0.7358
Hg  0.9154  0.9154  0.2642


2.
The following is a PBE-GGA calculation of crystalline LaPrCd5 at its relaxed geometry, from Alexandria.

Summary:
formation enthalpy at 0 K = -1.05 eV/f.u.
electronic total energy = -15.33 eV/cell
magnetic moment = 0.00 μB/atom
space group = No. 123

Cell lengths 5.3485, 5.3485, 6.9964 Å; angles 90.00, 90.00, 90.00 degrees
Sites, in units of the cell vectors:
La  0.0000  0.0000  0.0000
Pr  0.5000  0.5000  0.5000
Cd  0.0000  0.5000  0.2657
Cd  0.0000  0.5000  0.7343
Cd  0.5000  0.0000  0.2657
Cd  0.5000  0.0000  0.7343
Cd  0.5000  0.5000  0.0000


3.
The following is a PBE-GGA calculation of crystalline BaSbIr at its relaxed geometry, from Alexandria.

Summary:
E_form (uncorrected) = -64 kJ/mol of formula units
electronic total energy = -15.57 eV/cell
magnetic moment = 0.00 μB/atom
space group = No. 107

Cell lengths 6.5306, 6.5306, 6.5306 Å; angles 147.20, 147.20, 47.06 degrees
Sites, in units of the cell vectors:
Ba  0.0000  0.0000  0.0000
Sb  0.7196  0.7196  0.0000
Ir  0.2928  0.2928  0.0000


4.
The following is a PBE-GGA calculation of crystalline KPm2USe5 at its relaxed geometry, from Alexandria.

Summary:
E_form (uncorrected) = -1266 kJ/mol of formula units
electronic total energy = -52.43 eV/cell
magnetic moment = 0.30 μB/atom
space group = No. 71

Cell lengths 8.5743, 8.5743, 8.5743 Å; angles 144.11, 128.15, 64.67 degrees
Sites, in units of the cell vectors:
K  0.0000  0.0000  0.0000
Pm  0.2973  0.7973  0.5000
Pm  0.7027  0.2027  0.5000
U  0.5000  0.5000  0.0000
Se  0.1087  0.3481  0.7605
Se  0.4124  0.6519  0.7605
Se  0.5000  0.0000  0.5000
Se  0.5876  0.3481  0.2394
Se  0.8913  0.6519  0.2394


5.
The following is a PBE-GGA calculation of crystalline SrYTe2 at its relaxed geometry, from Alexandria.

Summary:
E_form (uncorrected) = -439 kJ/mol of formula units
electronic total energy = -37.95 eV/cell
magnetic moment = 0.01 μB/atom
space group = No. 122

Cell lengths 8.6747, 8.6747, 8.6747 Å; angles 130.83, 130.83, 72.08 degrees
Sites, in units of the cell vectors:
Sr  0.0000  0.0000  0.0000
Sr  0.7500  0.2500  0.5000
Y  0.2500  0.7500  0.5000
Y  0.5000  0.5000  0.0000
Te  0.1529  0.6250  0.0279
Te  0.3750  0.4029  0.5279
Te  0.5971  0.1250  0.9721
Te  0.8750  0.8471  0.4721


6.
The following is a PBE-GGA calculation of crystalline SrSbAs2Br at its relaxed geometry, from Alexandria.

Summary:
E_form (uncorrected) = 238 kJ/mol of formula units
electronic total energy = -14.31 eV/cell
magnetic moment = 0.27 μB/atom
space group = No. 123

Cell lengths 5.9926, 5.9926, 5.5434 Å; angles 90.00, 90.00, 90.00 degrees
Sites, in units of the cell vectors:
Sr  0.0000  0.0000  0.0000
Sb  0.5000  0.5000  0.5000
As  0.0000  0.5000  0.0000
As  0.5000  0.0000  0.0000
Br  0.0000  0.0000  0.5000


Which of these has the highest electronic total energy?
SrSbAs2Br